# H2WO, relaxed, DFT GGA+U
data_H2WO
_space_group_name_H-M_alt 'F m -3 m'
_space_group_IT_number 225
_space_group_name_Hall '-F 4 2 3'
_cell_length_a 4.9487
_cell_length_b 4.9487
_cell_length_c 4.9487
_cell_angle_alpha 90.00
_cell_angle_beta 90.00
_cell_angle_gamma 90.00
loop_
_atom_site_label
_atom_site_type_symbol
_atom_site_fract_x
_atom_site_fract_y
_atom_site_fract_z
_atom_site_occupancy
H1 H 0.2500 0.2500 0.2500 1
W1 W 0.0000 0.0000 0.0000 1
O1 O 0.0000 0.0000 0.5000 1
# Total magnetization = 7.98 Bohr magnetons per cell
# Theoretical density = 11.1 Mg/m³
# DFT total energy = -69.9 eV/cell
# Crystal system = cubic